No. 1
Below is a geometry-optimized Tb3PrHo8 structure, with properties calculated at the PBE level.

Geometry as extended XYZ:
```
12
Lattice="6.9991 0.0000 -3.1310 -1.4007 6.8575 -3.1310 0.0140 0.0171 9.4195" Properties=species:S:1:pos:R:3 pbc="T T T"
Ho 5.5937 2.5997 -1.5406
Ho 0.7134 0.8738 6.2510
Ho 1.4276 6.0008 -1.5406
Ho 0.0186 4.2749 4.6980
Ho 4.1847 0.8738 4.6980
Ho 4.8990 6.0008 -3.0935
Ho 3.4900 4.2749 3.1451
Ho 2.1223 2.5997 0.0123
Pr 0.0000 0.0000 0.0000
Tb 4.9061 1.7229 1.5787
Tb 2.7992 3.4287 -3.1310
Tb 0.7062 5.1517 1.5787
```

Its size of the total moment is 0.00 μB/f.u. Its energy of formation from the pure elements is 0.75 eV per atom.

=====

No. 2
Below is a geometry-optimized Li2TcNi structure, with properties calculated at the PBE level.

Geometry as extended XYZ:
```
4
Lattice="-2.2361 -0.8058 -0.7267 1.0587 -1.2551 -1.8659 0.8051 -6.7266 4.9816" Properties=species:S:1:pos:R:3 pbc="T T T"
Tc 0.0151 -6.0754 2.4399
Ni -0.3874 -2.7121 -0.0509
Li 0.3875 -3.2379 2.3979
Li 0.0150 -0.1254 0.0929
```

Its size of the total moment is 0.17 μB/f.u. Its energy of formation from the pure elements is 0.17 eV per atom.

=====

No. 3
Below is a geometry-optimized LiAcI5 structure, with properties calculated at the PBE level.

Geometry as extended XYZ:
```
14
Lattice="-2.9734 -7.5907 2.8993 1.8023 -6.0822 -5.8843 7.5503 -6.8224 2.9335" Properties=species:S:1:pos:R:3 pbc="T T T"
I 2.7759 -6.0364 0.5770
I 7.0377 -11.3339 -2.8982
I 3.6378 -9.7440 -1.8959
I 6.6367 -9.4205 1.8862
I 0.7720 -6.7697 -2.9433
I 3.6033 -14.4589 -0.6284
I 5.6072 -13.7256 2.8919
I 2.7414 -10.7512 1.8445
I -0.2575 -11.0747 -1.9376
I -0.6585 -9.1613 2.8467
Li 0.0000 0.0000 0.0000
Li 3.7751 -3.4112 1.4667
Ac 0.9744 -8.6455 -0.1566
Ac 5.4048 -11.8497 0.1051
```

Its uncorrected formation energy is -1.095 eV per atom. Its size of the total moment is 0.83 μB/f.u.

=====

No. 4
Below is a geometry-optimized Fe2Se structure, with properties calculated at the PBE level.

Geometry as extended XYZ:
```
3
Lattice="-0.0060 -1.8547 2.4549 1.2857 -0.9376 -2.6333 4.6784 2.0447 1.5562" Properties=species:S:1:pos:R:3 pbc="T T T"
Fe 3.4849 -0.2114 1.7768
Fe 2.4731 -0.5361 -0.3990
Se 0.0000 0.0000 0.0000
```

Its uncorrected formation energy is 0.255 eV per atom. Its size of the total moment is 4.96 μB/f.u.

=====

No. 5
Below is a geometry-optimized PmHo2ReN4 structure, with properties calculated at the PBE level.

Geometry as extended XYZ:
```
16
Lattice="-0.2102 -3.2875 -1.0239 2.8718 -0.0465 5.3711 -10.1674 -1.0402 5.4273" Properties=species:S:1:pos:R:3 pbc="T T T"
N -5.1787 -3.0968 5.1951
N 0.0000 0.0000 0.0000
N -5.1807 -2.2738 8.3643
N -2.3251 -2.1004 1.4101
N -7.6636 -3.3510 6.5215
N -2.3271 -1.2774 4.5794
N -5.0837 -0.5201 2.7136
N 0.1579 -1.0232 3.2529
Pm -6.9533 -1.1908 5.2511
Pm -0.5525 -3.1834 4.5234
Ho -3.4407 -1.8073 6.5093
Ho -4.0651 -2.5669 3.2651
Ho -7.7295 -2.2461 8.7987
Ho 0.2238 -2.1282 0.9758
Re -1.7574 -0.7393 2.7345
Re -5.7484 -3.6349 7.0399
```

Its uncorrected formation energy is -1.053 eV per atom. Its size of the total moment is 0.00 μB/f.u.

=====

No. 6
Below is a geometry-optimized MnVB2 structure, with properties calculated at the PBE level.

Geometry as extended XYZ:
```
8
Lattice="4.3850 0.0000 0.0000 0.0000 4.3850 0.0000 2.1925 2.1925 5.0878" Properties=species:S:1:pos:R:3 pbc="T T T"
B 3.4134 1.0962 1.2720
B 5.4812 5.6059 3.8159
B 0.9715 3.2887 1.2720
B 3.2887 3.1640 3.8159
Mn 4.3850 2.1925 2.5439
Mn 0.0000 0.0000 0.0000
V 2.1925 4.3850 2.5439
V 2.1925 2.1925 0.0000
```

Its size of the total moment is 2.03 μB/f.u. Its energy of formation from the pure elements is 0.79 eV per atom.

=====

No. 7
Below is a geometry-optimized CaPm15Nd4 structure, with properties calculated at the PBE level.

Geometry as extended XYZ:
```
20
Lattice="-2.9610 3.4755 2.4666 1.6137 -1.8656 4.5658 19.6768 16.8213 -0.0810" Properties=species:S:1:pos:R:3 pbc="T T T"
Nd 3.9438 3.3714 -0.0162
Nd 7.8779 6.7347 -0.0324
Nd 11.7988 10.0866 -0.0486
Nd 15.7330 13.4499 -0.0648
Pm 6.7251 4.1266 2.2585
Pm 14.5653 10.8291 2.2263
Pm 2.8283 0.7953 2.2746
Pm 4.4378 6.7972 1.2089
Pm 10.6452 7.4779 2.2424
Pm 0.5410 3.4659 1.2250
Pm 12.2780 13.4997 1.1767
Pm 15.0689 14.2630 3.4514
Pm 18.4621 14.1604 2.2102
Pm 16.1747 16.8309 1.1606
Pm 7.1960 7.5326 3.4838
Pm -0.6737 0.8050 3.5162
Pm 3.2605 4.1682 3.5000
Pm 11.1334 10.8986 3.4676
Pm 8.3579 10.1484 1.1928
Ca 0.0000 0.0000 0.0000
```

Its size of the total moment is 0.00 μB/f.u. Its energy of formation from the pure elements is 0.03 eV per atom.

=====

No. 8
Below is a geometry-optimized CeU3Pt12 structure, with properties calculated at the PBE level.

Geometry as extended XYZ:
```
16
Lattice="4.1682 0.0000 0.0000 0.0000 4.1682 0.0000 0.0000 0.0000 16.6778" Properties=species:S:1:pos:R:3 pbc="T T T"
Pt 2.0841 2.0841 12.4943
Pt 2.0841 2.0841 8.3389
Pt 0.0000 2.0841 2.1076
Pt 2.0841 0.0000 10.4210
Pt 2.0841 2.0841 4.1835
Pt 0.0000 2.0841 6.2568
Pt 2.0841 0.0000 6.2568
Pt 2.0841 2.0841 0.0000
Pt 0.0000 2.0841 14.5702
Pt 2.0841 0.0000 2.1076
Pt 0.0000 2.0841 10.4210
Pt 2.0841 0.0000 14.5702
Ce 0.0000 0.0000 0.0000
U 0.0000 0.0000 4.1666
U 0.0000 0.0000 12.5112
U 0.0000 0.0000 8.3389
```

Its size of the total moment is 6.26 μB/f.u. Its energy of formation from the pure elements is -0.78 eV per atom.

=====

No. 9
Below is a geometry-optimized Mn2CdPb structure, with properties calculated at the PBE level.

Geometry as extended XYZ:
```
4
Lattice="5.0092 -0.0514 0.0254 -3.7470 5.8581 0.0255 0.0107 1.7394 2.6940" Properties=species:S:1:pos:R:3 pbc="T T T"
Cd 2.5099 0.8440 1.3597
Mn 0.0000 0.0000 0.0000
Mn -1.8682 3.7987 1.3597
Pb 0.6311 2.9033 0.0254
```

Its size of the total moment is 7.47 μB/f.u. Its energy of formation from the pure elements is 0.42 eV per atom.

=====

No. 10
Below is a geometry-optimized Sc2Ag2Sn structure, with properties calculated at the PBE level.

Geometry as extended XYZ:
```
5
Lattice="3.7842 0.0000 0.0000 0.0000 3.7842 0.0000 1.8921 1.8921 7.9583" Properties=species:S:1:pos:R:3 pbc="T T T"
Ag 3.7842 1.8921 3.9791
Ag 1.8921 3.7842 3.9791
Sc 1.8921 1.8921 1.6238
Sc 3.7842 3.7842 6.3345
Sn 0.0000 0.0000 0.0000
```

Its size of the total moment is 0.00 μB/f.u. Its energy of formation from the pure elements is -0.10 eV per atom.

=====

No. 11
Below is a geometry-optimized MgTi2ZnC structure, with properties calculated at the PBE level.

Geometry as extended XYZ:
```
5
Lattice="-2.8791 1.2854 2.7516 -2.9928 -1.8456 -2.2693 0.5302 -3.6224 2.2469" Properties=species:S:1:pos:R:3 pbc="T T T"
Mg 0.2651 -1.8112 1.1234
C 0.0000 0.0000 0.0000
Ti -1.4964 -0.9228 -1.1347
Ti -1.4396 0.6427 1.3758
Zn -2.6709 -2.0913 1.3646
```

Its size of the total moment is 0.00 μB/f.u. Its energy of formation from the pure elements is -0.22 eV per atom.

=====

No. 12
Below is a geometry-optimized UBePb2O6 structure, with properties calculated at the PBE level.

Geometry as extended XYZ:
```
10
Lattice="5.6804 -0.0004 0.0000 0.0003 5.6805 0.0000 2.8404 2.8400 4.0167" Properties=species:S:1:pos:R:3 pbc="T T T"
O 4.3246 1.3557 0.0000
O 2.8404 2.8400 2.0991
O 5.6807 5.6801 1.9176
O 7.1651 7.1642 4.0167
O 1.3561 4.3244 0.0000
O 1.3560 1.3559 0.0000
Be 0.0000 0.0000 0.0000
Pb 5.6806 2.8399 2.0084
Pb 2.8405 5.6803 2.0084
U 2.8404 2.8400 0.0000
```

Its uncorrected formation energy is -2.031 eV per atom. Its size of the total moment is 0.00 μB/f.u.

=====

No. 13
Below is a geometry-optimized Y2Cd5Hg structure, with properties calculated at the PBE level.

Geometry as extended XYZ:
```
8
Lattice="-0.8297 4.6447 0.4601 -0.8290 1.8465 4.2868 10.2916 3.9702 2.9014" Properties=species:S:1:pos:R:3 pbc="T T T"
Y 1.4255 7.0050 5.1221
Y 7.2074 3.4564 2.5262
Cd 4.3165 5.2307 3.8241
Cd 3.9233 2.9094 2.1268
Cd 4.7096 7.5520 5.5215
Cd 0.2088 4.5464 3.3245
Cd 8.4241 5.9149 4.3238
Hg 0.0000 0.0000 0.0000
```

Its size of the total moment is 0.00 μB/f.u. Its energy of formation from the pure elements is -0.10 eV per atom.

=====

No. 14
Below is a geometry-optimized MgZrAu structure, with properties calculated at the PBE level.

Geometry as extended XYZ:
```
3
Lattice="-3.2136 4.2991 3.3888 -4.4807 4.4740 0.4488 -2.6041 -1.5621 1.0288" Properties=species:S:1:pos:R:3 pbc="T T T"
Au -2.6307 -1.5081 1.0435
Zr -4.3612 2.0054 1.9984
Mg -5.9106 5.1514 2.8533
```

Its size of the total moment is 0.00 μB/f.u. Its energy of formation from the pure elements is -0.34 eV per atom.

=====

No. 15
Below is a geometry-optimized K2MoAs structure, with properties calculated at the PBE level.

Geometry as extended XYZ:
```
4
Lattice="-1.1793 1.4089 -5.0553 3.2456 -3.8746 -1.8398 -3.9481 -1.2087 3.4471" Properties=species:S:1:pos:R:3 pbc="T T T"
K 0.1653 -3.1581 -0.9201
K 0.0000 0.0000 0.0000
Mo 1.0331 -1.2329 -3.4475
As -2.0472 -0.5164 -2.5278
```

Its size of the total moment is 5.01 μB/f.u. Its energy of formation from the pure elements is 0.77 eV per atom.

=====

No. 16
Below is a geometry-optimized BeRhBr structure, with properties calculated at the PBE level.

Geometry as extended XYZ:
```
6
Lattice="-0.3031 -2.2789 3.2516 1.1447 -1.6078 -3.0752 8.4241 1.4450 2.3579" Properties=species:S:1:pos:R:3 pbc="T T T"
Be 0.3258 -1.6810 0.9123
Be 2.3050 -2.9468 0.1404
Br 7.1218 0.6911 2.1803
Br 4.5116 -1.9602 0.4456
Rh 2.3341 -0.8234 1.2117
Rh 1.1464 -1.2245 -1.1917
```

Its uncorrected formation energy is -0.333 eV per atom. Its size of the total moment is 0.00 μB/f.u.

=====

No. 17
Below is a geometry-optimized Li2In12Sn5 structure, with properties calculated at the PBE level.

Geometry as extended XYZ:
```
19
Lattice="5.3997 -0.0060 1.1837 1.2042 9.0426 4.8235 -0.0107 -0.0934 10.3187" Properties=species:S:1:pos:R:3 pbc="T T T"
Sn 4.6686 2.7151 5.5460
Sn 4.3559 7.1286 12.8146
Sn 2.2373 1.8145 3.5112
Sn 2.6998 -0.0030 0.5919
Sn 1.9246 6.2280 10.7798
In 1.7095 5.0086 3.5250
In 4.0230 5.8004 5.5805
In 1.3954 8.0774 13.7375
In 2.5701 3.1427 10.7453
In 4.8837 3.9345 12.8008
In 5.4843 8.4517 10.0838
In 1.1088 0.4914 6.2420
In 3.1444 7.4614 8.1477
In 4.9732 5.1875 9.7239
In 3.4488 1.4817 8.1781
In 1.6199 3.7556 6.6020
In 5.1978 0.8657 2.5884
Li 0.9055 6.7967 6.1743
Li 0.2880 2.1525 8.9678
```

Its size of the total moment is 0.00 μB/f.u. Its energy of formation from the pure elements is -0.01 eV per atom.

=====

No. 18
Below is a geometry-optimized La2Sn5Au3 structure, with properties calculated at the PBE level.

Geometry as extended XYZ:
```
20
Lattice="4.7347 0.0000 -0.8065 0.0000 8.3369 0.0000 -0.2158 0.0000 13.0338" Properties=species:S:1:pos:R:3 pbc="T T T"
Au 3.5261 5.4841 6.3994
Au 1.7173 0.8468 10.0814
Au 4.3188 3.6484 11.0528
Au 0.2001 7.8169 1.1745
Au 0.9928 1.3157 5.8278
Au 2.8016 5.0153 2.1458
Sn 3.3600 8.1509 5.4242
Sn 1.1589 3.9824 6.8031
Sn 3.1707 3.3315 4.3130
Sn 1.3482 7.5000 7.9143
Sn 0.2120 4.8863 1.2447
Sn 1.6968 3.7678 9.9610
Sn 3.9992 5.9753 9.1766
Sn 0.5197 1.8069 3.0507
Sn 4.3069 0.7178 10.9826
Sn 2.8221 7.9363 2.2663
La 3.7709 2.1561 7.8364
La 2.4753 2.3102 0.2303
La 2.0436 6.4786 11.9970
La 0.7480 6.3245 4.3908
```

Its size of the total moment is 0.00 μB/f.u. Its energy of formation from the pure elements is -0.55 eV per atom.

=====

No. 19
Below is a geometry-optimized RuN2Cl structure, with properties calculated at the PBE level.

Geometry as extended XYZ:
```
4
Lattice="-1.9470 -0.9197 5.9153 0.8544 -2.1824 5.8425 0.5460 0.8533 6.2130" Properties=species:S:1:pos:R:3 pbc="T T T"
N -0.4875 -2.0057 16.0279
N -0.0591 -0.2431 1.9430
Ru -0.2733 -1.1244 8.9854
Cl 0.0000 0.0000 0.0000
```

Its uncorrected formation energy is 0.863 eV per atom. Its size of the total moment is 0.00 μB/f.u.

=====

No. 20
Below is a geometry-optimized KNiP structure, with properties calculated at the PBE level.

Geometry as extended XYZ:
```
3
Lattice="-0.9722 4.3348 -0.1717 -1.4339 2.1026 3.6453 2.6255 2.9495 2.0425" Properties=species:S:1:pos:R:3 pbc="T T T"
Ni 0.1646 7.0402 4.1370
P 0.0000 0.0000 0.0000
K 0.1097 4.6935 2.7580
```

Its size of the total moment is 1.13 μB/f.u. Its energy of formation from the pure elements is 0.56 eV per atom.

=====

| no. | E_tot (Ry/atom) |
| --- | --- |
| 1 | -0.2837 |
| 2 | -0.3549 |
| 3 | -0.2251 |
| 4 | -0.4813 |
| 5 | -0.6255 |
| 6 | -0.5233 |
| 7 | -0.3374 |
| 8 | -0.5735 |
| 9 | -0.3909 |
| 10 | -0.3360 |
| 11 | -0.4260 |
| 12 | -0.5328 |
| 13 | -0.1708 |
| 14 | -0.3539 |
| 15 | -0.2684 |
| 16 | -0.3368 |
| 17 | -0.2198 |
| 18 | -0.3326 |
| 19 | -0.4469 |
| 20 | -0.2599 |